(1)
Here is a relaxed Tb12PmHo7 crystal from the Alexandria database. Energies are from PBE-GGA.

```
20
Lattice="-7.049 -2.697 -4.309 4.782 -7.001 -1.912 -2.648 -2.977 7.724" Properties=species:S:1:pos:R:3 pbc="T T T"
Ho -2.305 -11.379 2.417
Ho -2.457 -6.337 0.752
Ho 1.063 -2.718 -0.898
Ho -5.978 -9.956 2.401
Ho -4.265 -11.022 -0.981
Ho -2.609 -1.295 -0.914
Ho -0.650 -1.652 2.484
Tb -1.020 -4.877 -1.562
Tb -1.580 -8.265 -2.554
Tb -3.335 -4.409 4.057
Tb 1.415 -6.706 0.221
Tb -1.166 -9.142 0.644
Tb -4.601 -7.976 -0.754
Tb -3.749 -3.532 0.859
Tb -3.895 -7.797 3.065
Tb -4.258 -4.816 -2.388
Tb -0.657 -7.858 3.891
Tb -6.330 -5.968 1.282
Tb -0.314 -4.698 2.257
Pm 0.000 0.000 0.000
```

Results
Calculated formation energy ... 0.297 eV per atom
Space group ... R-3, No. 148
ρ ... 8.2 Mg/m³
Energy above the most stable polymorph in this dataset ... 0.0 meV/atom

(2)
Here is a relaxed LiPr4Tl5 crystal from the Alexandria database. Energies are from PBE-GGA.

```
10
Lattice="-2.514 -2.549 -0.888 1.911 -0.822 -3.047 10.791 -14.349 10.641" Properties=species:S:1:pos:R:3 pbc="T T T"
Pr 1.964 -2.611 1.936
Pr 8.827 -11.738 8.704
Pr 6.540 -8.696 6.449
Pr 4.251 -5.653 4.192
Tl 7.381 -11.902 5.609
Tl 2.806 -5.819 1.097
Tl 5.094 -8.860 3.353
Tl 0.531 -2.792 -1.147
Tl 9.657 -14.928 7.853
Li 0.000 0.000 0.000
```

Results
Calculated formation energy ... -0.366 eV per atom
Space group ... P4/mmm, No. 123
ρ ... 9.3 Mg/m³

(3)
Here is a relaxed ScRe4Pb crystal from the Alexandria database. Energies are from PBE-GGA.

```
6
Lattice="4.822 -2.240 -0.323 0.521 -4.931 -1.946 2.271 -0.759 -4.759" Properties=species:S:1:pos:R:3 pbc="T T T"
Re 3.991 -3.353 -5.017
Re 5.268 -4.094 -2.796
Re 2.854 -2.973 -2.634
Re 3.115 -5.442 -3.609
Pb 0.000 0.000 0.000
Sc 5.711 -5.948 -5.271
```

Results
Calculated formation energy ... 0.281 eV per atom
Space group ... F-43m, No. 216
ρ ... 15.5 Mg/m³

(4)
Here is a relaxed CuF3 crystal from the Alexandria database. Energies are from PBE-GGA.

```
4
Lattice="3.169 0.365 5.598 4.623 2.527 3.709 1.881 3.289 5.212" Properties=species:S:1:pos:R:3 pbc="T T T"
F 1.153 0.737 1.731
F 0.000 0.000 0.000
F 8.520 5.444 12.789
Cu 4.837 3.091 7.260
```

Results
E_form (uncorrected) ... -0.8563 eV per atom
Space group ... R-3m, No. 166
ρ ... 3.6 Mg/m³

(5)
Here is a relaxed LiErHfRu crystal from the Alexandria database. Energies are from PBE-GGA.

```
4
Lattice="4.732 0.000 0.000 2.366 4.098 0.000 2.366 1.366 3.864" Properties=species:S:1:pos:R:3 pbc="T T T"
Li 2.366 1.366 0.966
Ru 7.098 4.098 2.898
Hf 4.732 2.732 1.932
Er 0.000 0.000 0.000
```

Results
Calculated formation energy ... -0.297 eV per atom
Space group ... F-43m, No. 216
ρ ... 10.1 Mg/m³

(6)
Here is a relaxed YCu crystal from the Alexandria database. Energies are from PBE-GGA.

```
8
Lattice="-2.119 -1.784 -3.551 0.516 -4.907 2.158 -6.299 0.812 3.352" Properties=species:S:1:pos:R:3 pbc="T T T"
Cu -0.414 -3.483 0.569
Cu -3.434 -4.310 2.787
Cu -7.489 -2.396 1.390
Cu -4.469 -1.570 -0.828
Y -6.299 -4.930 1.953
Y -1.604 -0.949 0.007
Y -3.270 -4.183 -0.230
Y -4.633 -1.696 2.190
```

Results
Calculated formation energy ... -0.262 eV per atom
Space group ... Pnma, No. 62
ρ ... 5.8 Mg/m³

(7)
Here is a relaxed Ac4ZnRh2 crystal from the Alexandria database. Energies are from PBE-GGA.

```
28
Lattice="4.351 0.000 0.000 0.000 13.396 0.000 0.000 0.000 15.890" Properties=species:S:1:pos:R:3 pbc="T T T"
Rh 1.088 5.554 14.362
Rh 1.088 5.900 6.131
Rh 3.263 0.798 14.075
Rh 3.263 1.144 6.417
Rh 1.088 12.598 1.814
Rh 3.263 7.843 1.528
Rh 3.263 7.496 9.759
Rh 1.088 12.252 9.472
Ac 1.088 7.110 3.386
Ac 1.088 1.658 8.440
Ac 3.263 6.287 12.504
Ac 3.263 10.666 2.582
Ac 1.088 9.429 10.526
Ac 3.263 7.872 6.780
Ac 1.088 2.731 13.308
Ac 3.263 1.174 1.165
Ac 1.088 12.222 14.725
Ac 3.263 3.968 5.363
Ac 1.088 0.412 4.559
Ac 1.088 8.356 15.394
Ac 1.088 5.524 9.110
Ac 3.263 12.985 11.330
Ac 3.263 11.738 7.450
Ac 3.263 5.040 0.495
Zn 3.263 9.900 13.211
Zn 1.088 10.195 5.266
Zn 3.263 3.202 10.624
Zn 1.088 3.497 2.679
```

Results
Calculated formation energy ... -0.505 eV per atom
Space group ... Pnma, No. 62
ρ ... 8.5 Mg/m³

(8)
Here is a relaxed BeCu2Si crystal from the Alexandria database. Energies are from PBE-GGA.

```
4
Lattice="3.481 0.000 0.000 0.000 3.601 0.000 0.000 0.000 3.601" Properties=species:S:1:pos:R:3 pbc="T T T"
Cu 0.000 0.000 0.000
Cu 0.000 1.800 1.800
Si 1.740 1.800 0.000
Be 1.740 0.000 1.800
```

Results
E_form (uncorrected) ... 0.0150 eV per atom
Space group ... P4/mmm, No. 123
ρ ... 6.0 Mg/m³

(9)
Here is a relaxed Na5Tl12Ga2 crystal from the Alexandria database. Energies are from PBE-GGA.

```
19
Lattice="9.560 0.000 0.000 -4.780 10.665 -0.862 0.000 -5.170 5.851" Properties=species:S:1:pos:R:3 pbc="T T T"
Tl 2.798 -0.231 3.077
Tl 1.801 2.684 0.112
Tl 2.979 2.811 4.877
Tl 0.000 8.273 0.466
Tl 4.780 -2.778 4.523
Tl 0.000 0.243 1.542
Tl 1.982 5.725 1.912
Tl 7.759 2.684 0.112
Tl -2.979 2.811 4.877
Tl 6.762 -0.231 3.077
Tl 4.780 5.252 3.447
Tl -1.982 5.725 1.912
Na 4.780 5.305 -0.035
Na 4.780 2.232 1.997
Na 0.000 0.189 5.024
Na 0.000 3.263 2.992
Na 0.000 -2.585 2.925
Ga 6.263 0.000 0.000
Ga 3.297 0.000 0.000
```

Results
Calculated formation energy ... -0.035 eV per atom
Space group ... C2/m, No. 12
ρ ... 8.1 Mg/m³

(10)
Here is a relaxed Na3VCl6 crystal from the Alexandria database. Energies are from PBE-GGA.

```
10
Lattice="6.471 0.000 3.109 2.439 5.737 3.212 0.626 0.358 6.986" Properties=species:S:1:pos:R:3 pbc="T T T"
Na 2.306 1.242 3.489
Na 7.230 4.853 9.818
Na 0.000 0.000 0.000
V 4.768 3.048 6.653
Cl 3.762 3.623 8.747
Cl 6.464 4.709 7.036
Cl 3.073 1.386 6.271
Cl 6.126 1.386 7.738
Cl 5.774 2.472 4.560
Cl 3.410 4.709 5.569
```

Results
E_form (uncorrected) ... -1.5405 eV per atom
Space group ... C2/m, No. 12
ρ ... 2.3 Mg/m³
Energy above the most stable polymorph in this dataset ... 21.9 meV/atom

(11)
Here is a relaxed Re2Os crystal from the Alexandria database. Energies are from PBE-GGA.

```
6
Lattice="2.753 0.007 0.004 1.363 5.115 -0.042 1.361 1.377 6.356" Properties=species:S:1:pos:R:3 pbc="T T T"
Re 3.433 1.400 4.214
Re 2.044 5.099 2.103
Re 3.431 3.873 0.084
Re 2.047 2.626 6.233
Os 3.424 4.102 4.269
Os 2.053 2.397 2.049
```

Results
Calculated formation energy ... 0.092 eV per atom
Space group ... P-1, No. 2
ρ ... 20.9 Mg/m³
Energy above the most stable polymorph in this dataset ... 166.6 meV/atom

(12)
Here is a relaxed CaPHO crystal from the Alexandria database. Energies are from PBE-GGA.

```
8
Lattice="-2.442 -1.635 0.913 1.658 -1.191 2.302 -3.440 9.172 7.223" Properties=species:S:1:pos:R:3 pbc="T T T"
P -3.165 5.981 7.431
P -1.053 2.808 2.211
Ca -2.111 3.172 5.218
Ca -3.439 9.171 7.221
O -0.629 -0.781 2.105
O -1.957 5.218 4.109
H -0.908 -0.038 2.691
H -2.236 5.961 4.694
```

Results
Space group ... I4mm, No. 107
ρ ... 2.5 Mg/m³
Energy above the most stable polymorph in this dataset ... 78.0 meV/atom

(13)
Here is a relaxed Li4PaSe5 crystal from the Alexandria database. Energies are from PBE-GGA.

```
10
Lattice="4.067 0.000 -0.785 -0.283 5.285 -1.467 -0.077 0.066 10.533" Properties=species:S:1:pos:R:3 pbc="T T T"
Se 2.373 0.507 1.368
Se 3.121 1.623 5.243
Se 1.334 4.844 6.913
Se 0.586 3.729 3.038
Se -0.142 2.643 -0.734
Li 2.899 4.145 4.093
Li 2.326 3.290 1.123
Li 0.808 1.206 4.188
Li 1.381 2.061 7.158
Pa 0.000 0.000 0.000
```

Results
E_form (uncorrected) ... -1.0876 eV per atom
Space group ... Immm, No. 71
ρ ... 4.8 Mg/m³

(14)
Here is a relaxed Ba2CaSnF crystal from the Alexandria database. Energies are from PBE-GGA.

```
5
Lattice="5.635 0.000 0.000 0.000 5.635 0.000 0.000 0.000 5.019" Properties=species:S:1:pos:R:3 pbc="T T T"
Ca 0.000 0.000 2.509
Sn 2.818 2.818 2.509
F 0.000 0.000 0.000
Ba 2.818 0.000 0.000
Ba 0.000 2.818 0.000
```

Results
E_form (uncorrected) ... -1.3371 eV per atom
Space group ... P4/mmm, No. 123
ρ ... 4.7 Mg/m³

(15)
Here is a relaxed CeInGaPt3 crystal from the Alexandria database. Energies are from PBE-GGA.

```
12
Lattice="-4.330 -3.540 -0.850 3.586 -3.826 -2.333 -0.489 -1.512 8.787" Properties=species:S:1:pos:R:3 pbc="T T T"
Pt -0.837 -6.188 1.800
Pt -1.265 -2.730 -1.010
Pt 2.687 -2.866 -1.748
Pt -0.395 -2.690 3.804
Pt 0.900 -0.960 -0.585
Pt 0.522 -4.636 -2.173
Ga -0.013 -3.694 6.038
Ga -1.219 -5.184 -0.434
Ce 1.265 -4.255 1.862
Ce -2.498 -4.624 3.742
In -0.426 -7.267 4.202
In -0.806 -1.611 1.402
```

Results
Calculated formation energy ... -0.617 eV per atom
Space group ... Cmcm, No. 63
ρ ... 11.0 Mg/m³

(16)
Here is a relaxed Mn2TlRh crystal from the Alexandria database. Energies are from PBE-GGA.

```
4
Lattice="2.114 -3.774 0.483 -0.242 -2.164 3.769 -2.231 -3.730 0.228" Properties=species:S:1:pos:R:3 pbc="T T T"
Mn -0.269 -7.251 3.360
Mn -0.090 -2.417 1.120
Tl -0.179 -4.834 2.240
Rh 0.000 0.000 0.000
```

Results
Calculated formation energy ... 0.761 eV per atom
Space group ... Fm-3m, No. 225
ρ ... 11.9 Mg/m³
Energy above the most stable polymorph in this dataset ... 585.4 meV/atom

(17)
Here is a relaxed CdTc2W crystal from the Alexandria database. Energies are from PBE-GGA.

```
4
Lattice="3.211 0.000 0.000 0.000 4.584 0.000 0.000 0.000 4.388" Properties=species:S:1:pos:R:3 pbc="T T T"
Cd 0.000 2.292 2.194
Tc 1.605 2.292 0.000
Tc 0.000 0.000 0.000
W 1.605 0.000 2.194
```

Results
Calculated formation energy ... 0.658 eV per atom
Space group ... Pmmm, No. 47
ρ ... 12.7 Mg/m³

(18)
Here is a relaxed CePd6Pt crystal from the Alexandria database. Energies are from PBE-GGA.

```
8
Lattice="4.108 0.000 0.000 0.000 5.692 -0.035 0.000 0.037 5.692" Properties=species:S:1:pos:R:3 pbc="T T T"
Pt 2.054 2.865 2.829
Pd 0.000 4.252 1.423
Pd 2.054 2.846 -0.018
Pd 0.000 4.272 4.218
Pd 2.054 0.018 2.846
Pd 0.000 1.458 1.439
Pd 0.000 1.477 4.234
Ce 2.054 0.000 0.000
```

Results
Calculated formation energy ... -0.442 eV per atom
Space group ... P4/mmm, No. 123
ρ ... 12.1 Mg/m³
Energy above the most stable polymorph in this dataset ... 0.0 meV/atom

(19)
Here is a relaxed K2SbRu crystal from the Alexandria database. Energies are from PBE-GGA.

```
4
Lattice="-0.660 -3.258 -1.085 3.102 -1.040 1.236 -4.390 -2.173 9.191" Properties=species:S:1:pos:R:3 pbc="T T T"
Ru -2.503 -1.239 5.241
Sb -1.739 -3.614 6.272
K -0.247 -2.876 3.149
K -4.043 -2.001 8.465
```

Results
E_form (uncorrected) ... 0.1256 eV per atom
Space group ... P4mm, No. 99
ρ ... 3.9 Mg/m³

(20)
Here is a relaxed MgZrNb crystal from the Alexandria database. Energies are from PBE-GGA.

```
3
Lattice="-2.078 -0.541 -2.874 -2.135 -2.129 1.944 -0.557 5.115 1.679" Properties=species:S:1:pos:R:3 pbc="T T T"
Mg -0.031 0.044 0.014
Nb -2.997 -0.070 -0.058
Zr -1.742 2.472 0.794
```

Results
Calculated formation energy ... 0.220 eV per atom
Space group ... I4mm, No. 107
ρ ... 5.6 Mg/m³
Energy above the most stable polymorph in this dataset ... 23.2 meV/atom

(21)
Here is a relaxed Er6SnOs crystal from the Alexandria database. Energies are from PBE-GGA.

```
8
Lattice="6.758 0.008 0.003 3.371 5.864 0.012 3.365 1.951 6.518" Properties=species:S:1:pos:R:3 pbc="T T T"
Er 4.245 3.929 4.950
Er 7.972 1.732 4.950
Er 5.522 6.091 1.583
Er 9.249 3.895 1.583
Er 5.487 1.758 1.576
Er 8.006 6.066 4.957
Os 0.000 0.000 0.000
Sn 6.747 3.912 3.267
```

Results
Calculated formation energy ... -0.076 eV per atom
Space group ... P-1, No. 2
ρ ... 8.4 Mg/m³

(22)
Here is a relaxed CeSnAs2Rh5 crystal from the Alexandria database. Energies are from PBE-GGA.

```
9
Lattice="-1.304 -2.244 3.161 -0.356 -3.252 -2.456 10.095 -2.767 2.200" Properties=species:S:1:pos:R:3 pbc="T T T"
Ce 5.048 -1.384 1.100
Rh 7.816 -3.444 3.426
Rh 4.217 -4.132 1.453
Rh 8.290 -3.947 0.618
Rh 1.449 -2.072 -0.873
Rh 0.975 -1.568 1.935
As 6.470 -4.749 1.944
As 1.965 -3.514 0.962
Sn 0.000 0.000 0.000
```

Results
Calculated formation energy ... -0.525 eV per atom
Space group ... P4/mmm, No. 123
ρ ... 8.6 Mg/m³

(23)
Here is a relaxed SrCo2Si crystal from the Alexandria database. Energies are from PBE-GGA.

```
4
Lattice="-1.757 2.957 -0.046 -0.328 -0.149 2.920 5.416 3.258 2.596" Properties=species:S:1:pos:R:3 pbc="T T T"
Si 0.394 2.256 1.356
Co 0.473 0.285 0.278
Co 2.071 1.269 2.480
Sr 2.938 3.811 4.113
```

Results
E_form (uncorrected) ... 0.1593 eV per atom
Space group ... P2/m, No. 10
ρ ... 5.8 Mg/m³

(24)
Here is a relaxed TcHg2Cl crystal from the Alexandria database. Energies are from PBE-GGA.

```
4
Lattice="-0.302 -0.473 4.974 -2.804 -3.630 2.003 2.187 -3.881 2.282" Properties=species:S:1:pos:R:3 pbc="T T T"
Cl -0.459 -3.992 4.629
Hg 0.000 0.000 0.000
Hg -0.229 -1.996 2.315
Tc -0.688 -5.988 6.944
```

Results
E_form (uncorrected) ... 0.7318 eV per atom
Space group ... F-43m, No. 216
ρ ... 10.0 Mg/m³
Energy above the most stable polymorph in this dataset ... 522.3 meV/atom